## La5Tl2Au (PBE)

Data for an optimized crystal structure of La5Tl2Au.

Electronic total energy   -0.3308 Ry per atom
Energy of formation from the pure elements   -0.42 eV/atom

Geometry as POSCAR:
```
La5Tl2Au
1.0
7.1453 0.0000 0.0000
0.0000 13.5689 0.0000
0.0000 0.0000 5.3085
La Tl Au
10 4 2
Direct
0.0000 0.0000 0.0000
0.1270 0.2819 0.0000
0.1635 0.5885 0.5000
0.3365 0.0885 0.5000
0.3730 0.7819 0.0000
0.5000 0.5000 0.0000
0.6270 0.2181 0.0000
0.6635 0.9115 0.5000
0.8365 0.4115 0.5000
0.8730 0.7181 0.0000
0.1170 0.8455 0.5000
0.3830 0.3455 0.5000
0.6170 0.6545 0.5000
0.8830 0.1545 0.5000
0.0000 0.5000 0.0000
0.5000 0.0000 0.0000
```